# 1
Sc7Bi2AsN2 | GGA-PBE | optimized geometry

```
data_Sc7Bi2AsN2
_chemical_formula_sum 'Sc7 Bi2 As1 N2'
_cell_length_a 4.417
_cell_length_b 4.417
_cell_length_c 12.249
_cell_angle_alpha 79.62
_cell_angle_beta 79.62
_cell_angle_gamma 89.99
_symmetry_space_group_name_H-M 'P 1'
_symmetry_Int_Tables_number 1
loop_
_symmetry_equiv_pos_as_xyz
'x,y,z'
loop_
_atom_site_label
_atom_site_type_symbol
_atom_site_fract_x
_atom_site_fract_y
_atom_site_fract_z
Sc1 Sc 0.315 0.315 0.371
Sc2 Sc 0.500 0.500 0.000
Sc3 Sc 0.414 0.914 0.172
Sc4 Sc 0.685 0.685 0.629
Sc5 Sc 0.914 0.414 0.172
Sc6 Sc 0.086 0.586 0.828
Sc7 Sc 0.586 0.086 0.828
Bi1 Bi 0.184 0.184 0.632
Bi2 Bi 0.816 0.816 0.368
As1 As 0.000 0.000 0.000
N1 N 0.407 0.407 0.186
N2 N 0.593 0.593 0.814
```

## Properties
DFT total energy (eV per cell): -86.0
Uncorrected formation energy (eV per atom): -1.054
Density of states at the Fermi level (states/eV/f.u.): 8.7

---

# 2
Ba2NaCd12Pt3 | GGA-PBE | optimized geometry

```
data_Ba2NaCd12Pt3
_chemical_formula_sum 'Ba2 Na1 Cd12 Pt3'
_cell_length_a 9.065
_cell_length_b 9.065
_cell_length_c 9.065
_cell_angle_alpha 64.51
_cell_angle_beta 64.51
_cell_angle_gamma 64.51
_symmetry_space_group_name_H-M 'P 1'
_symmetry_Int_Tables_number 1
loop_
_symmetry_equiv_pos_as_xyz
'x,y,z'
loop_
_atom_site_label
_atom_site_type_symbol
_atom_site_fract_x
_atom_site_fract_y
_atom_site_fract_z
Ba1 Ba 0.601 0.601 0.601
Ba2 Ba 0.399 0.399 0.399
Na1 Na 0.000 0.000 0.000
Cd1 Cd 0.312 0.862 0.312
Cd2 Cd 0.134 0.134 0.607
Cd3 Cd 0.862 0.312 0.312
Cd4 Cd 0.688 0.688 0.138
Cd5 Cd 0.866 0.393 0.866
Cd6 Cd 0.688 0.138 0.688
Cd7 Cd 0.393 0.866 0.866
Cd8 Cd 0.134 0.607 0.134
Cd9 Cd 0.866 0.866 0.393
Cd10 Cd 0.138 0.688 0.688
Cd11 Cd 0.312 0.312 0.862
Cd12 Cd 0.607 0.134 0.134
Pt1 Pt 0.000 0.000 0.500
Pt2 Pt 0.500 0.000 0.000
Pt3 Pt 0.000 0.500 0.000
```

## Properties
DFT total energy (eV per cell): -35.0
Density of states at the Fermi level (states/eV/f.u.): 8.6